[1]
{"formula": "Pm3CuHg3", "functional": "PBE", "state": "relaxed", "cell": [[-1.8469, 2.4275, 10.1177], [1.8469, -2.4275, 10.1177], [1.8469, 2.4275, -10.1177]], "species": ["Pm", "Pm", "Pm", "Cu", "Hg", "Hg", "Hg"], "frac_coords": [[0.0000, 0.0000, 0.0000], [0.3803, 0.3803, 0.0000], [0.6996, 0.1996, 0.5000], [0.2633, 0.7633, 0.5000], [0.1338, 0.6338, 0.5000], [0.5460, 0.5460, 0.0000], [0.8337, 0.8337, 0.0000]], "formation_enthalpy_0k_ev_per_atom": -0.365, "total_energy_ev_per_cell": -21.81}


[2]
{"formula": "Pm3Cu4Hg2", "functional": "PBE", "state": "relaxed", "cell": [[5.4820, -2.2356, 0.0000], [5.4820, 2.2356, 0.0000], [-3.6473, 0.0000, 7.9055]], "species": ["Pm", "Pm", "Pm", "Cu", "Cu", "Cu", "Cu", "Hg", "Hg"], "frac_coords": [[0.0000, 0.0000, 0.0000], [0.3526, 0.3526, 0.3121], [0.6474, 0.6474, 0.6879], [0.0688, 0.0688, 0.4152], [0.2687, 0.2687, 0.9461], [0.7313, 0.7313, 0.0539], [0.9312, 0.9312, 0.5848], [0.3590, 0.3590, 0.6977], [0.6410, 0.6410, 0.3023]], "formation_enthalpy_0k_ev_per_atom": -0.275, "total_energy_ev_per_cell": -33.71, "de_polymorph_mev_per_atom": 0}


[3]
{"formula": "Pm4CuHg3", "functional": "PBE", "state": "relaxed", "cell": [[3.7311, 0.0000, 0.0000], [0.0000, 3.7311, 0.0000], [0.0000, 0.0000, 15.2417]], "species": ["Pm", "Pm", "Pm", "Pm", "Cu", "Hg", "Hg", "Hg"], "frac_coords": [[0.0000, 0.0000, 0.1105], [0.0000, 0.0000, 0.3705], [0.0000, 0.0000, 0.6295], [0.0000, 0.0000, 0.8895], [0.5000, 0.5000, 0.0000], [0.5000, 0.5000, 0.2419], [0.5000, 0.5000, 0.5000], [0.5000, 0.5000, 0.7581]], "formation_enthalpy_0k_ev_per_atom": -0.387, "total_energy_ev_per_cell": -27.10}


[4]
{"formula": "Pm2CuHg5", "functional": "PBE", "state": "relaxed", "cell": [[4.0628, -2.3552, 0.0000], [4.0628, 2.3552, 0.0000], [-2.7293, 0.0000, 10.9266]], "species": ["Pm", "Pm", "Cu", "Hg", "Hg", "Hg", "Hg", "Hg"], "frac_coords": [[0.0886, 0.0886, 0.2631], [0.9114, 0.9114, 0.7369], [0.0000, 0.0000, 0.0000], [0.2006, 0.2006, 0.6030], [0.3618, 0.3618, 0.0849], [0.5000, 0.5000, 0.5000], [0.6382, 0.6382, 0.9151], [0.7994, 0.7994, 0.3970]], "formation_enthalpy_0k_ev_per_atom": -0.175, "total_energy_ev_per_cell": -16.51}


[5]
{"formula": "PmCuHg5", "functional": "PBE", "state": "relaxed", "cell": [[4.7436, 0.0000, 0.0000], [0.0000, 4.7436, 0.0000], [0.0000, 0.0000, 7.4742]], "species": ["Pm", "Cu", "Hg", "Hg", "Hg", "Hg", "Hg"], "frac_coords": [[0.0000, 0.0000, 0.0000], [0.0000, 0.0000, 0.5000], [0.0000, 0.5000, 0.2995], [0.0000, 0.5000, 0.7005], [0.5000, 0.0000, 0.2995], [0.5000, 0.0000, 0.7005], [0.5000, 0.5000, 0.0000]], "formation_enthalpy_0k_ev_per_atom": -0.185, "total_energy_ev_per_cell": -11.65}


[6]
{"formula": "PmCuHg", "functional": "PBE", "state": "relaxed", "cell": [[-1.8467, 1.8467, 4.9405], [1.8467, -1.8467, 4.9405], [1.8467, 1.8467, -4.9405]], "species": ["Pm", "Cu", "Hg"], "frac_coords": [[0.0000, 0.0000, 0.0000], [0.3257, 0.3257, 0.0000], [0.6882, 0.6882, 0.0000]], "formation_enthalpy_0k_ev_per_atom": -0.204, "total_energy_ev_per_cell": -9.76, "de_polymorph_mev_per_atom": 133}


Magnetic moment (μB per cell)
0.0; 0.0; 0.5; 0.0; 0.0; 0.0